No. 1
Compound: PmEr4Tm2Sc
Source: Alexandria
Functional: GGA-PBE
Structure: relaxed

abc: 9.333 9.333 11.535
angles: 128.17 128.17 88.88
Each line ends with the local moment (μB).
Fractional coordinates of all 16 atoms:
Pm  0.500  0.500  0.500  0.18
Pm  0.000  0.000  0.000  0.18
Er  0.247  0.741  0.994  0.26
Er  0.759  0.253  0.506  0.26
Er  0.241  0.747  0.494  0.26
Er  0.753  0.259  0.006  0.26
Er  0.758  0.743  0.003  0.25
Er  0.757  0.742  0.497  0.25
Er  0.243  0.258  0.503  0.25
Er  0.242  0.257  0.997  0.25
Tm  0.500  0.000  0.000  0.26
Tm  0.500  0.000  0.500  0.26
Tm  0.000  0.000  0.500  0.22
Tm  0.500  0.500  0.000  0.22
Sc  0.000  0.500  0.000  0.36
Sc  0.000  0.500  0.500  0.36

Summary:
V (A^3/atom): 31.4
Fermi-level density of states (states/eV per atom): 2.223
Energy of formation from the pure elements (eV/atom): 0.45



No. 2
Compound: PrAlCuHg
Source: Alexandria
Functional: GGA-PBE
Structure: relaxed

abc: 4.952 4.952 4.952
angles: 60.00 60.00 60.00
Fractional coordinates of all 4 atoms:
Pr  0.000  0.000  0.000
Hg  0.750  0.750  0.750
Cu  0.250  0.250  0.250
Al  0.500  0.500  0.500

Summary:
V (A^3/atom): 21.5
Fermi-level density of states (states/eV per atom): 0.462
Energy of formation from the pure elements (eV/atom): -0.23



No. 3
Compound: NaFeTe2
Source: Alexandria
Functional: GGA-PBE
Structure: relaxed

abc: 4.895 4.895 4.895
angles: 60.00 60.00 60.00
Fractional coordinates of all 4 atoms:
Na  0.000  0.000  0.000
Te  0.250  0.250  0.250
Te  0.750  0.750  0.750
Fe  0.500  0.500  0.500

Summary:
V (A^3/atom): 20.7
Fermi-level density of states (states/eV per atom): 1.098
Formation energy without anion corrections (eV/atom): 0.25



No. 4
Compound: TbSm2Er
Source: Alexandria
Functional: GGA-PBE
Structure: relaxed

abc: 5.070 5.067 6.193
angles: 114.15 114.16 90.00
Fractional coordinates of all 4 atoms:
Tb  0.250  0.750  0.500
Sm  0.000  0.000  0.000
Sm  0.750  0.250  0.500
Er  0.500  0.500  0.000

Summary:
V (A^3/atom): 32.4
Excess energy over the best structure of this formula in the dataset (meV/atom): 2.6
Fermi-level density of states (states/eV per atom): 1.380
Energy of formation from the pure elements (eV/atom): 0.02



No. 5
Compound: Y4Er7Mg
Source: Alexandria
Functional: GGA-PBE
Structure: relaxed

abc: 5.560 5.560 13.824
angles: 90.00 90.00 120.00
Fractional coordinates of all 12 atoms:
Y  0.667  0.333  0.073
Y  0.333  0.667  0.927
Y  0.667  0.333  0.320
Y  0.333  0.667  0.680
Er  0.000  0.000  0.000
Er  0.667  0.333  0.576
Er  0.333  0.667  0.424
Er  0.667  0.333  0.825
Er  0.333  0.667  0.175
Er  0.000  0.000  0.264
Er  0.000  0.000  0.736
Mg  0.000  0.000  0.500

Summary:
V (A^3/atom): 30.8
Excess energy over the best structure of this formula in the dataset (meV/atom): 0.0
Fermi-level density of states (states/eV per atom): 2.178
Energy of formation from the pure elements (eV/atom): 0.10